(1)
This record from Alexandria describes an optimized crystal structure of LaYN2. The functional is GGA-PBE.

Its total energy is -8.167 eV per atom. As for the uncorrected formation energy: -1156 meV/atom. The calculation puts the total magnetization at 0.00 μB/f.u. The crystal system is trigonal.

Lattice parameters (Å, degrees): 3.535 3.535 6.238 90.00 90.00 120.00
Atoms (fractional coordinates):
La1 0.000 0.000 0.000
Y1 0.000 0.000 0.500
N1 0.333 0.667 0.736
N2 0.667 0.333 0.264

---

(2)
This record from Alexandria describes an optimized crystal structure of Zn6GePd12. The functional is GGA-PBE.

Its total energy is -4.117 eV per atom. The calculation puts the total magnetization at 0.00 μB/f.u. The crystal system is trigonal.

Lattice parameters (Å, degrees): 6.960 6.960 6.960 99.35 99.35 99.35
Atoms (fractional coordinates):
Zn1 0.014 0.230 0.322
Zn2 0.230 0.322 0.014
Zn3 0.322 0.014 0.230
Zn4 0.678 0.986 0.770
Zn5 0.770 0.678 0.986
Zn6 0.986 0.770 0.678
Ge1 0.500 0.500 0.500
Pd1 0.005 0.132 0.674
Pd2 0.132 0.674 0.005
Pd3 0.184 0.494 0.630
Pd4 0.326 0.995 0.868
Pd5 0.370 0.816 0.506
Pd6 0.494 0.630 0.184
Pd7 0.506 0.370 0.816
Pd8 0.630 0.184 0.494
Pd9 0.674 0.005 0.132
Pd10 0.816 0.506 0.370
Pd11 0.868 0.326 0.995
Pd12 0.995 0.868 0.326

---

(3)
This record from Alexandria describes an optimized crystal structure of EuGaSn2. The functional is GGA-PBE.

Its total energy is -5.768 eV per atom. The calculation puts the total magnetization at 6.84 μB/f.u. The crystal system is tetragonal.

Lattice parameters (Å, degrees): 4.570 4.570 4.836 90.00 90.00 90.00
Atoms (fractional coordinates):
Eu1 0.000 0.000 0.000
Ga1 0.500 0.500 0.000
Sn1 0.000 0.500 0.500
Sn2 0.500 0.000 0.500

---

(4)
This record from Alexandria describes an optimized crystal structure of V6HN3. The functional is GGA-PBE.

Its total energy is -9.133 eV per atom. The calculation puts the total magnetization at 0.00 μB/f.u. The crystal system is trigonal.

Lattice parameters (Å, degrees): 5.413 5.413 5.413 54.45 54.45 54.45
Atoms (fractional coordinates):
V1 0.004 0.664 0.332
V2 0.149 0.506 0.842
V3 0.332 0.004 0.664
V4 0.506 0.842 0.149
V5 0.664 0.332 0.004
V6 0.842 0.149 0.506
H1 0.431 0.431 0.431
N1 0.248 0.248 0.248
N2 0.740 0.740 0.740
N3 0.924 0.924 0.924

---

(5)
This record from Alexandria describes an optimized crystal structure of LaCr3Hg. The functional is GGA-PBE.

The offset from the most stable computed form is 110 meV/atom. Its total energy is -4.831 eV per atom. The calculation puts the total magnetization at 0.00 μB/f.u. The crystal system is cubic.

Lattice parameters (Å, degrees): 4.521 4.521 4.521 90.00 90.00 90.00
Atoms (fractional coordinates):
La1 0.000 0.000 0.000
Cr1 0.000 0.000 0.500
Cr2 0.000 0.500 0.000
Cr3 0.500 0.000 0.000
Hg1 0.500 0.500 0.500

---

(6)
This record from Alexandria describes an optimized crystal structure of Si2Sb2I. The functional is GGA-PBE.

The offset from the most stable computed form is 0 meV/atom. Its total energy is -3.931 eV per atom. As for the uncorrected formation energy: 197 meV/atom. The calculation puts the total magnetization at 0.00 μB/f.u. The crystal system is tetragonal.

Lattice parameters (Å, degrees): 8.238 8.238 8.238 149.88 149.88 43.12
Atoms (fractional coordinates):
Si1 0.250 0.750 0.500
Si2 0.750 0.250 0.500
Sb1 0.135 0.135 0.000
Sb2 0.865 0.865 0.000
I1 0.500 0.500 0.000